1.
## GePtO3 (PBE)

Data for a geometry-optimized GePtO3 structure.

Computed properties:
- Mass density: 8.49 g/cm3
- E_tot: -26.06 eV for the cell shown
- E_form (uncorrected): -0.106 eV per atom

Lattice parameters (Å, degrees): 3.953 3.953 3.953 90.00 90.00 90.00
Space group Pm-3m (No. 221)
Unique sites:
Ge (0.000, 0.000, 0.000) x1
Pt (0.500, 0.500, 0.500) x1
O (0.000, 0.500, 0.500) x3

2.
## Li2SiMo (PBE)

Data for a geometry-optimized Li2SiMo structure.

Computed properties:
- Mass density: 4.22 g/cm3
- E_tot: -39.65 eV for the cell shown
- E_form (uncorrected): 0.064 eV per atom

Lattice parameters (Å, degrees): 4.259 4.259 5.982 90.00 90.00 90.00
Space group I-4m2 (No. 119)
Unique sites:
Li (0.000, 0.000, 0.000) x2
Li (0.000, 0.500, 0.250) x2
Si (0.000, 0.500, 0.750) x2
Mo (0.000, 0.000, 0.500) x2

3.
## Ca3AcH8 (PBE)

Data for a geometry-optimized Ca3AcH8 structure.

Computed properties:
- Mass density: 3.46 g/cm3
- E_tot: -43.53 eV for the cell shown

Lattice parameters (Å, degrees): 5.547 5.547 5.547 90.00 90.00 90.00
Space group Pm-3m (No. 221)
Unique sites:
Ca (0.000, 0.000, 0.500) x3
Ac (0.500, 0.500, 0.500) x1
H (0.242, 0.242, 0.242) x8

4.
## Sm6BiAs2P3 (PBE)

Data for a geometry-optimized Sm6BiAs2P3 structure.

Computed properties:
- Mass density: 7.06 g/cm3
- E_tot: -149.48 eV for the cell shown
- Formation energy: -1.418 eV per atom

Lattice parameters (Å, degrees): 18.405 4.198 8.474 90.00 103.54 90.00
Space group C2/m (No. 12)
Unique sites:
Sm (0.001, 0.000, 0.230) x4
Sm (0.167, 0.500, 0.087) x4
Sm (0.175, 0.500, 0.584) x4
Bi (0.000, 0.500, 0.500) x2
As (0.167, 0.000, 0.834) x4
P (0.000, 0.500, 0.000) x2
P (0.166, 0.000, 0.332) x4

5.
## CoIr2Se (PBE)

Data for a geometry-optimized CoIr2Se structure.

Computed properties:
- Mass density: 15.04 g/cm3
- E_tot: -26.82 eV for the cell shown
- E_form (uncorrected): 0.372 eV per atom

Lattice parameters (Å, degrees): 2.880 3.545 5.651 90.00 90.00 90.00
Space group Pmmm (No. 47)
Unique sites:
Co (0.000, 0.000, 0.000) x1
Ir (0.500, 0.500, 0.234) x2
Se (0.000, 0.000, 0.500) x1

6.
## LiB2C2 (PBE)

Data for a geometry-optimized LiB2C2 structure.

Computed properties:
- Mass density: 1.91 g/cm3
- E_tot: -202.91 eV for the cell shown
- Formation energy: -0.020 eV per atom
- Offset from the most stable computed form: 0.25 eV/f.u.

Lattice parameters (Å, degrees): 14.106 2.703 8.670 90.00 123.93 90.00
Space group C2/m (No. 12)
Unique sites:
Li (0.000, 0.000, 0.000) x2
Li (0.156, 0.000, 0.497) x4
B (0.023, 0.500, 0.244) x4
B (0.141, 0.000, 0.756) x4
B (0.195, 0.000, 0.253) x4
C (0.033, 0.000, 0.760) x4
C (0.138, 0.500, 0.255) x4
C (0.195, 0.500, 0.746) x4

7.
## KPd2IO (PBE)

Data for a geometry-optimized KPd2IO structure.

Computed properties:
- Mass density: 4.97 g/cm3
- E_tot: -18.70 eV for the cell shown
- E_form (uncorrected): -0.142 eV per atom

Lattice parameters (Å, degrees): 4.250 4.250 7.303 90.00 90.00 90.00
Space group P4/mmm (No. 123)
Unique sites:
K (0.000, 0.000, 0.000) x1
Pd (0.000, 0.500, 0.500) x2
I (0.500, 0.500, 0.000) x1
O (0.500, 0.500, 0.500) x1

8.
## BaGaBr3 (PBE)

Data for a geometry-optimized BaGaBr3 structure.

Computed properties:
- Mass density: 3.79 g/cm3
- E_tot: -34.68 eV for the cell shown
- Offset from the most stable computed form: 0.00 eV/f.u.
- E_form (uncorrected): -1.475 eV per atom

Lattice parameters (Å, degrees): 4.699 10.014 8.637 90.00 105.50 90.00
Space group P2_1/m (No. 11)
Unique sites:
Ba (0.238, 0.250, 0.477) x2
Ga (0.022, 0.750, 0.045) x2
Br (0.166, 0.567, 0.327) x4
Br (0.400, 0.750, 0.804) x2

9.
## YPuZnRu (PBE)

Data for a geometry-optimized YPuZnRu structure.

Computed properties:
- Mass density: 9.85 g/cm3
- E_tot: -128.07 eV for the cell shown
- Formation energy: -0.168 eV per atom

Lattice parameters (Å, degrees): 6.956 6.956 6.956 90.00 90.00 90.00
Space group F-43m (No. 216)
Unique sites:
Y (0.000, 0.000, 0.000) x4
Pu (0.000, 0.000, 0.500) x4
Zn (0.250, 0.250, 0.750) x4
Ru (0.250, 0.250, 0.250) x4

10.
## AcPm3Al2 (PBE)

Data for a geometry-optimized AcPm3Al2 structure.

Computed properties:
- Mass density: 6.64 g/cm3
- E_tot: -27.16 eV for the cell shown
- Formation energy: -0.219 eV per atom

Lattice parameters (Å, degrees): 3.716 3.716 12.977 90.00 90.00 90.00
Space group P4/mmm (No. 123)
Unique sites:
Ac (0.000, 0.000, 0.000) x1
Pm (0.500, 0.500, 0.217) x2
Pm (0.500, 0.500, 0.500) x1
Al (0.000, 0.000, 0.356) x2

11.
## LiCr2CuOs (PBE)

Data for a geometry-optimized LiCr2CuOs structure.

Computed properties:
- Mass density: 10.08 g/cm3
- E_tot: -30.37 eV for the cell shown
- Formation energy: 1.223 eV per atom

Lattice parameters (Å, degrees): 3.966 3.966 3.821 90.00 90.00 90.00
Space group P4/mmm (No. 123)
Unique sites:
Li (0.000, 0.000, 0.000) x1
Cr (0.000, 0.500, 0.000) x2
Cu (0.000, 0.000, 0.500) x1
Os (0.500, 0.500, 0.500) x1

12.
## K2Li3CeF12 (PBE)

Data for a geometry-optimized K2Li3CeF12 structure.

Computed properties:
- Mass density: 3.15 g/cm3
- E_tot: -246.32 eV for the cell shown
- E_form (uncorrected): -2.543 eV per atom

Lattice parameters (Å, degrees): 7.2836 7.2836 16.0825 90.00 90.00 120.00
Space group R-3m (No. 166, hexagonal axes)
Unique sites:
K (0.0000, 0.0000, 0.1001) x6
Li (0.0000, 0.5000, 0.0000) x9
Ce (0.0000, 0.0000, 0.5000) x3
F (0.0249, 0.5125, 0.8707) x18
F (0.0891, 0.5446, 0.2947) x18

13.
## Ba2NiCCl (PBE)

Data for a geometry-optimized Ba2NiCCl structure.

Computed properties:
- Mass density: 5.08 g/cm3
- E_tot: -23.83 eV for the cell shown
- Offset from the most stable computed form: 0.00 eV/f.u.
- E_form (uncorrected): -0.626 eV per atom

Lattice parameters (Å, degrees): 5.827 5.827 3.668 90.00 90.00 90.00
Space group P4/mmm (No. 123)
Unique sites:
Ba (0.000, 0.500, 0.000) x2
Ni (0.000, 0.000, 0.500) x1
C (0.000, 0.000, 0.000) x1
Cl (0.500, 0.500, 0.500) x1

14.
## InSn2Pd3 (PBE)

Data for a geometry-optimized InSn2Pd3 structure.

Computed properties:
- Mass density: 9.02 g/cm3
- E_tot: -116.90 eV for the cell shown
- Formation energy: -0.484 eV per atom
- Offset from the most stable computed form: 0.00 eV/f.u.

Lattice parameters (Å, degrees): 12.939 6.774 5.645 90.00 90.00 90.00
Space group Cmcm (No. 63)
Unique sites:
In (0.000, 0.142, 0.250) x4
Sn (0.164, 0.349, 0.750) x8
Pd (0.000, 0.500, 0.000) x4
Pd (0.171, 0.000, 0.000) x8

15.
## GeBiTe2Os (PBE)

Data for a geometry-optimized GeBiTe2Os structure.

Computed properties:
- Mass density: 8.50 g/cm3
- E_tot: -17.84 eV for the cell shown
- E_form (uncorrected): 1.634 eV per atom

Lattice parameters (Å, degrees): 5.179 5.179 5.297 90.00 90.00 90.00
Space group P4/mmm (No. 123)
Unique sites:
Ge (0.000, 0.000, 0.000) x1
Bi (0.000, 0.000, 0.500) x1
Te (0.000, 0.500, 0.000) x2
Os (0.500, 0.500, 0.500) x1

16.
## Ho2PdPt (PBE)

Data for a geometry-optimized Ho2PdPt structure.

Computed properties:
- Mass density: 12.42 g/cm3
- E_tot: -24.74 eV for the cell shown
- Formation energy: -1.088 eV per atom

Lattice parameters (Å, degrees): 4.957 4.957 3.437 90.00 90.00 90.00
Space group P4/mmm (No. 123)
Unique sites:
Ho (0.000, 0.500, 0.000) x2
Pd (0.000, 0.000, 0.500) x1
Pt (0.500, 0.500, 0.500) x1

17.
## Sc2BeNbRh (PBE)

Data for a geometry-optimized Sc2BeNbRh structure.

Computed properties:
- Mass density: 4.76 g/cm3
- E_tot: -32.18 eV for the cell shown
- Formation energy: 0.325 eV per atom

Lattice parameters (Å, degrees): 4.927 4.927 4.240 90.00 90.00 90.00
Space group P4/mmm (No. 123)
Unique sites:
Sc (0.000, 0.500, 0.000) x2
Be (0.000, 0.000, 0.500) x1
Nb (0.500, 0.500, 0.500) x1
Rh (0.000, 0.000, 0.000) x1

18.
## Tl4ZnHg5 (PBE)

Data for a geometry-optimized Tl4ZnHg5 structure.

Computed properties:
- Mass density: 10.93 g/cm3
- E_tot: -23.92 eV for the cell shown
- Formation energy: 0.029 eV per atom

Lattice parameters (Å, degrees): 9.540 9.540 6.298 90.00 90.00 90.00
Space group I4 (No. 79)
Unique sites:
Tl (0.063, 0.313, 0.000) x8
Zn (0.000, 0.000, 0.256) x2
Hg (0.000, 0.000, 0.813) x2
Hg (0.100, 0.239, 0.493) x8

19.
## NaAc2Be2O6 (PBE)

Data for a geometry-optimized NaAc2Be2O6 structure.

Computed properties:
- Mass density: 6.63 g/cm3
- E_tot: -150.78 eV for the cell shown
- E_form (uncorrected): -2.605 eV per atom

Lattice parameters (Å, degrees): 9.813 5.232 6.507 90.00 117.69 90.00
Space group C2/m (No. 12)
Unique sites:
Na (0.000, 0.000, 0.000) x2
Ac (0.212, 0.000, 0.705) x4
Be (0.040, 0.500, 0.732) x4
O (0.064, 0.260, 0.327) x8
O (0.215, 0.500, 0.862) x4

20.
## NdRh2 (PBE)

Data for a geometry-optimized NdRh2 structure.

Computed properties:
- Mass density: 10.33 g/cm3
- E_tot: -171.68 eV for the cell shown
- Formation energy: -0.663 eV per atom

Lattice parameters (Å, degrees): 7.663 7.663 7.663 90.00 90.00 90.00
Space group Fd-3m (No. 227, origin choice 2)
Unique sites:
Nd (0.125, 0.125, 0.125) x8
Rh (0.000, 0.000, 0.500) x16